Record 1
PBE-GGA TbTh3In12, optimized geometry; V = 26.21 A^3/atom; ΔH_f (0 K) = -0.368 eV/atom
1.0
-0.528 2.361 -4.060
-3.684 -2.743 -1.116
-11.574 12.073 8.526
Tb Th In
1 3 12
Direct
0.000 0.000 0.000 Tb
0.000 0.000 0.247 Th
0.000 0.000 0.500 Th
0.000 0.000 0.753 Th
0.500 0.500 0.000 In
0.500 0.500 0.248 In
0.500 0.500 0.500 In
0.500 0.500 0.752 In
0.500 0.000 0.121 In
0.500 0.000 0.374 In
0.500 0.000 0.626 In
0.500 0.000 0.879 In
0.000 0.500 0.121 In
0.000 0.500 0.374 In
0.000 0.500 0.626 In
0.000 0.500 0.879 In

---

Record 2
PBE-GGA Tb6ThIn5, optimized geometry; V = 27.88 A^3/atom; ΔH_f (0 K) = -0.365 eV/atom
1.0
4.836 0.021 -1.410
-1.201 7.691 -4.005
0.037 -0.232 9.110
Tb Th In
6 1 5
Direct
0.831 0.569 0.661 Tb
0.831 0.093 0.661 Tb
0.500 0.728 0.000 Tb
0.500 0.272 0.000 Tb
0.169 0.907 0.339 Tb
0.169 0.431 0.339 Tb
0.000 0.000 0.000 Th
0.654 0.154 0.308 In
0.324 0.323 0.646 In
0.000 0.500 0.000 In
0.676 0.677 0.354 In
0.346 0.846 0.692 In

---

Record 3
PBE-GGA TbThIn, optimized geometry; relative energy among the computed polymorphs = 18 meV/atom; V = 29.29 A^3/atom; ΔH_f (0 K) = -0.248 eV/atom
1.0
4.913 0.000 0.000
0.000 4.536 0.000
0.000 -2.268 7.888
Tb Th In
2 2 2
Direct
0.250 0.424 0.849 Tb
0.750 0.576 0.151 Tb
0.250 0.741 0.482 Th
0.750 0.259 0.518 Th
0.250 0.086 0.171 In
0.750 0.914 0.829 In

---

Number 1: M_tot 0.000 μB/atom. Number 2: M_tot 0.000 μB/atom. Number 3: M_tot 0.000 μB/atom.